Entry 1:
{
  "formula": "Er4Mg3Rh",
  "functional": "PBE",
  "state": "optimized geometry",
  "lattice": [[-2.418, 1.013, -2.381], [-1.872, -2.935, 0.652], [-8.022, 7.653, 11.401]],
  "species": ["Mg", "Mg", "Mg", "Er", "Er", "Er", "Er", "Rh"],
  "frac_coords": [[0.500, 0.500, 0.760], [0.500, 0.500, 0.240], [0.500, 0.500, 0.500], [0.000, 0.000, 0.900], [0.000, 0.000, 0.371], [0.000, 0.000, 0.100], [0.000, 0.000, 0.629], [0.500, 0.500, 0.000]],
  "formation_enthalpy_0k_ev_per_atom": -0.29,
  "spacegroup": "P4/mmm, No. 123"
}

Entry 2:
{
  "formula": "ErMg2Rh2",
  "functional": "PBE",
  "state": "optimized geometry",
  "lattice": [[-1.660, -2.387, 1.431], [0.700, -1.989, -2.507], [7.966, -3.721, 3.036]],
  "species": ["Mg", "Mg", "Rh", "Rh", "Er"],
  "frac_coords": [[0.000, 0.175, 0.650], [0.000, 0.825, 0.350], [0.500, 0.595, 0.809], [0.500, 0.405, 0.191], [0.000, 0.000, 0.000]],
  "formation_enthalpy_0k_ev_per_atom": -0.56,
  "spacegroup": "Cmmm, No. 65"
}

Entry 3:
{
  "formula": "ErMg5Rh6",
  "functional": "PBE",
  "state": "optimized geometry",
  "lattice": [[4.374, 0.002, -0.910], [-0.003, 6.382, -0.001], [-0.815, 0.000, 6.999]],
  "species": ["Mg", "Mg", "Mg", "Mg", "Mg", "Er", "Rh", "Rh", "Rh", "Rh", "Rh", "Rh"],
  "frac_coords": [[0.334, 0.500, 0.667], [0.669, 0.000, 0.339], [0.000, 0.500, 0.000], [0.331, 0.000, 0.661], [0.666, 0.500, 0.333], [0.000, 0.000, 0.000], [0.500, 0.259, 0.000], [0.831, 0.255, 0.661], [0.500, 0.741, 0.000], [0.831, 0.745, 0.661], [0.169, 0.255, 0.339], [0.169, 0.745, 0.339]],
  "formation_enthalpy_0k_ev_per_atom": -0.58,
  "spacegroup": "P2/m, No. 10"
}

Entry 4:
{
  "formula": "Er5Mg2Ru2Rh",
  "functional": "PBE",
  "state": "optimized geometry",
  "lattice": [[3.515, 0.000, 0.000], [0.000, 11.535, 0.000], [0.000, 0.000, 11.535]],
  "species": ["Er", "Er", "Er", "Er", "Er", "Er", "Er", "Er", "Er", "Er", "Mg", "Mg", "Mg", "Mg", "Ru", "Ru", "Ru", "Ru", "Rh", "Rh"],
  "frac_coords": [[0.500, 0.000, 0.500], [0.500, 0.939, 0.197], [0.500, 0.439, 0.303], [0.500, 0.803, 0.939], [0.500, 0.500, 0.000], [0.500, 0.303, 0.561], [0.500, 0.697, 0.439], [0.500, 0.197, 0.061], [0.500, 0.061, 0.803], [0.500, 0.561, 0.697], [0.000, 0.815, 0.685], [0.000, 0.685, 0.185], [0.000, 0.315, 0.815], [0.000, 0.185, 0.315], [0.000, 0.134, 0.634], [0.000, 0.366, 0.134], [0.000, 0.634, 0.866], [0.000, 0.866, 0.366], [0.000, 0.000, 0.000], [0.000, 0.500, 0.500]],
  "formation_enthalpy_0k_ev_per_atom": -0.35,
  "spacegroup": "P4/mbm, No. 127"
}

Entry 5:
{
  "formula": "ErMgSc2Rh4",
  "functional": "PBE",
  "state": "optimized geometry",
  "lattice": [[4.581, 0.000, 0.000], [2.290, 3.967, 0.000], [2.290, 1.322, 7.514]],
  "species": ["Mg", "Rh", "Rh", "Rh", "Rh", "Er", "Sc", "Sc"],
  "frac_coords": [[0.500, 0.500, 0.500], [0.126, 0.126, 0.623], [0.874, 0.874, 0.377], [0.377, 0.377, 0.869], [0.623, 0.623, 0.131], [0.000, 0.000, 0.000], [0.244, 0.244, 0.267], [0.756, 0.756, 0.733]],
  "formation_enthalpy_0k_ev_per_atom": -0.90,
  "spacegroup": "R-3m, No. 166"
}

Entry 6:
{
  "formula": "Er2MgSi2Rh5",
  "functional": "PBE",
  "state": "optimized geometry",
  "lattice": [[-2.484, -0.799, 2.200], [-0.119, -9.205, -3.477], [6.748, -2.607, 6.671]],
  "species": ["Rh", "Rh", "Rh", "Rh", "Rh", "Rh", "Rh", "Rh", "Rh", "Rh", "Si", "Si", "Si", "Si", "Er", "Er", "Er", "Er", "Mg", "Mg"],
  "frac_coords": [[0.500, 0.500, 0.000], [0.500, 0.931, 0.215], [0.500, 0.569, 0.715], [0.500, 0.285, 0.569], [0.500, 0.069, 0.785], [0.500, 0.785, 0.931], [0.500, 0.215, 0.069], [0.500, 0.715, 0.431], [0.500, 0.000, 0.500], [0.500, 0.431, 0.285], [0.000, 0.126, 0.626], [0.000, 0.874, 0.374], [0.000, 0.374, 0.126], [0.000, 0.626, 0.874], [0.000, 0.674, 0.174], [0.000, 0.326, 0.826], [0.000, 0.174, 0.326], [0.000, 0.826, 0.674], [0.000, 0.500, 0.500], [0.000, 0.000, 0.000]],
  "spacegroup": "P4/mbm, No. 127",
  "raw_formation_energy_ev_per_atom": -0.9646
}

Entry 7:
{
  "formula": "SmErMgRh",
  "functional": "PBE",
  "state": "optimized geometry",
  "lattice": [[5.084, 0.000, 0.000], [2.542, 4.403, 0.000], [2.542, 1.468, 4.151]],
  "species": ["Er", "Rh", "Mg", "Sm"],
  "frac_coords": [[0.500, 0.500, 0.500], [0.250, 0.250, 0.250], [0.750, 0.750, 0.750], [0.000, 0.000, 0.000]],
  "formation_enthalpy_0k_ev_per_atom": -0.38,
  "spacegroup": "F-43m, No. 216"
}

Entry 8:
{
  "formula": "SmEr2MgRh4",
  "functional": "PBE",
  "state": "optimized geometry",
  "lattice": [[4.740, 0.000, 0.000], [2.370, 4.105, 0.000], [2.370, 1.368, 7.795]],
  "species": ["Er", "Er", "Rh", "Rh", "Rh", "Rh", "Sm", "Mg"],
  "frac_coords": [[0.756, 0.756, 0.731], [0.244, 0.244, 0.269], [0.622, 0.622, 0.134], [0.874, 0.874, 0.377], [0.378, 0.378, 0.866], [0.126, 0.126, 0.623], [0.000, 0.000, 0.000], [0.500, 0.500, 0.500]],
  "formation_enthalpy_0k_ev_per_atom": -0.79,
  "spacegroup": "R-3m, No. 166"
}

Entry 9:
{
  "formula": "ErMgSnRh",
  "functional": "PBE",
  "state": "optimized geometry",
  "lattice": [[4.789, 0.000, 0.000], [2.394, 4.147, 0.000], [2.394, 1.382, 3.910]],
  "species": ["Rh", "Er", "Mg", "Sn"],
  "frac_coords": [[0.000, 0.000, 0.000], [0.750, 0.750, 0.750], [0.500, 0.500, 0.500], [0.250, 0.250, 0.250]],
  "formation_enthalpy_0k_ev_per_atom": -0.56,
  "spacegroup": "F-43m, No. 216"
}

Entry 10:
{
  "formula": "Tb2ErMgRh4",
  "functional": "PBE",
  "state": "optimized geometry",
  "lattice": [[4.746, 0.000, 0.000], [2.373, 4.110, 0.000], [2.373, 1.370, 7.754]],
  "species": ["Tb", "Tb", "Rh", "Rh", "Rh", "Rh", "Mg", "Er"],
  "frac_coords": [[0.245, 0.245, 0.265], [0.755, 0.755, 0.735], [0.124, 0.124, 0.628], [0.876, 0.876, 0.372], [0.376, 0.376, 0.873], [0.624, 0.624, 0.127], [0.500, 0.500, 0.500], [0.000, 0.000, 0.000]],
  "formation_enthalpy_0k_ev_per_atom": -0.81,
  "spacegroup": "R-3m, No. 166"
}

Entry 11:
{
  "formula": "Er2MgTi2Rh5",
  "functional": "PBE",
  "state": "optimized geometry",
  "lattice": [[-1.532, -2.131, 2.306], [7.663, 1.397, 6.381], [-4.814, 7.857, 4.061]],
  "species": ["Mg", "Mg", "Er", "Er", "Er", "Er", "Rh", "Rh", "Rh", "Rh", "Rh", "Rh", "Rh", "Rh", "Rh", "Rh", "Ti", "Ti", "Ti", "Ti"],
  "frac_coords": [[0.000, 0.500, 0.500], [0.000, 0.000, 0.000], [0.000, 0.824, 0.676], [0.000, 0.676, 0.176], [0.000, 0.176, 0.324], [0.000, 0.324, 0.824], [0.500, 0.000, 0.500], [0.500, 0.935, 0.207], [0.500, 0.065, 0.793], [0.500, 0.207, 0.065], [0.500, 0.793, 0.935], [0.500, 0.293, 0.565], [0.500, 0.500, 0.000], [0.500, 0.707, 0.435], [0.500, 0.435, 0.293], [0.500, 0.565, 0.707], [0.000, 0.876, 0.376], [0.000, 0.124, 0.624], [0.000, 0.624, 0.876], [0.000, 0.376, 0.124]],
  "formation_enthalpy_0k_ev_per_atom": -0.65,
  "spacegroup": "P4/mbm, No. 127"
}

Entry 12:
{
  "formula": "ErMgTlRh",
  "functional": "PBE",
  "state": "optimized geometry",
  "lattice": [[4.902, 0.000, 0.000], [2.451, 4.246, 0.000], [2.451, 1.415, 4.003]],
  "species": ["Mg", "Er", "Tl", "Rh"],
  "frac_coords": [[0.750, 0.750, 0.750], [0.250, 0.250, 0.250], [0.000, 0.000, 0.000], [0.500, 0.500, 0.500]],
  "polymorph_energy_ev_per_atom": 0.123,
  "formation_enthalpy_0k_ev_per_atom": -0.36,
  "spacegroup": "F-43m, No. 216"
}

Entry 13:
{
  "formula": "ErMgTlRh",
  "functional": "PBE",
  "state": "optimized geometry",
  "lattice": [[-2.940, 1.046, -1.052], [-1.482, -2.165, 1.990], [-0.142, 5.386, 5.753]],
  "species": ["Mg", "Tl", "Rh", "Er"],
  "frac_coords": [[0.500, 0.500, 0.367], [0.000, 0.000, 0.089], [0.000, 0.000, 0.559], [0.500, 0.500, 0.770]],
  "polymorph_energy_ev_per_atom": 0.000,
  "formation_enthalpy_0k_ev_per_atom": -0.49,
  "spacegroup": "P4mm, No. 99"
}

Entry 14:
{
  "formula": "ErTmMgRh",
  "functional": "PBE",
  "state": "optimized geometry",
  "lattice": [[4.994, 0.000, 0.000], [2.497, 4.325, 0.000], [2.497, 1.442, 4.078]],
  "species": ["Er", "Tm", "Rh", "Mg"],
  "frac_coords": [[0.250, 0.250, 0.250], [0.750, 0.750, 0.750], [0.500, 0.500, 0.500], [0.000, 0.000, 0.000]],
  "formation_enthalpy_0k_ev_per_atom": -0.44,
  "spacegroup": "F-43m, No. 216"
}

Entry 15:
{
  "formula": "Y2ErMgRh4",
  "functional": "PBE",
  "state": "optimized geometry",
  "lattice": [[-0.643, 0.343, 4.688], [-4.385, 0.383, 1.771], [-2.148, -7.477, 2.653]],
  "species": ["Y", "Y", "Rh", "Rh", "Rh", "Rh", "Mg", "Er"],
  "frac_coords": [[0.245, 0.245, 0.265], [0.755, 0.755, 0.735], [0.876, 0.876, 0.372], [0.124, 0.124, 0.628], [0.625, 0.625, 0.126], [0.375, 0.375, 0.874], [0.500, 0.500, 0.500], [0.000, 0.000, 0.000]],
  "formation_enthalpy_0k_ev_per_atom": -0.80,
  "spacegroup": "R-3m, No. 166"
}

Entry 16:
{
  "formula": "Er2MgZnRh4",
  "functional": "PBE",
  "state": "optimized geometry",
  "lattice": [[-1.149, 3.223, -3.033], [-3.937, -0.328, -2.303], [-5.173, 4.807, 3.620]],
  "species": ["Er", "Er", "Rh", "Rh", "Rh", "Rh", "Mg", "Zn"],
  "frac_coords": [[0.752, 0.752, 0.745], [0.248, 0.248, 0.255], [0.376, 0.376, 0.872], [0.624, 0.624, 0.128], [0.874, 0.874, 0.377], [0.126, 0.126, 0.623], [0.000, 0.000, 0.000], [0.500, 0.500, 0.500]],
  "formation_enthalpy_0k_ev_per_atom": -0.73,
  "spacegroup": "R-3m, No. 166"
}

Entry 17:
{
  "formula": "ErMgRu2",
  "functional": "PBE",
  "state": "optimized geometry",
  "lattice": [[3.354, 0.000, 0.000], [0.000, 3.354, 0.000], [0.000, 0.000, 6.228]],
  "species": ["Ru", "Ru", "Mg", "Er"],
  "frac_coords": [[0.000, 0.000, 0.219], [0.000, 0.000, 0.781], [0.500, 0.500, 0.000], [0.500, 0.500, 0.500]],
  "formation_enthalpy_0k_ev_per_atom": -0.05,
  "spacegroup": "P4/mmm, No. 123"
}

Entry 18:
{
  "formula": "ErMgRu",
  "functional": "PBE",
  "state": "optimized geometry",
  "lattice": [[-0.536, -0.575, -3.321], [-3.516, -2.650, 1.027], [-0.625, 4.428, -0.666]],
  "species": ["Mg", "Ru", "Er"],
  "frac_coords": [[0.206, 0.667, 0.333], [0.110, 0.000, 0.000], [0.684, 0.333, 0.667]],
  "formation_enthalpy_0k_ev_per_atom": -0.09,
  "spacegroup": "P3m1, No. 156"
}

Entry 19:
{
  "formula": "Er3Mg2Ru",
  "functional": "PBE",
  "state": "optimized geometry",
  "lattice": [[4.964, 0.000, 0.022], [2.482, 7.379, 0.011], [-0.034, 0.000, 7.924]],
  "species": ["Mg", "Mg", "Mg", "Mg", "Er", "Er", "Er", "Er", "Er", "Er", "Ru", "Ru"],
  "frac_coords": [[0.000, 0.000, 0.000], [0.000, 0.000, 0.500], [0.333, 0.334, 0.500], [0.667, 0.666, 0.500], [0.175, 0.650, 0.208], [0.175, 0.650, 0.792], [0.500, 0.000, 0.781], [0.825, 0.350, 0.792], [0.825, 0.350, 0.208], [0.500, 0.000, 0.219], [0.340, 0.321, 0.000], [0.660, 0.679, 0.000]],
  "formation_enthalpy_0k_ev_per_atom": -0.24,
  "spacegroup": "Cmmm, No. 65"
}

Entry 20:
{
  "formula": "Er2MgRu2",
  "functional": "PBE",
  "state": "optimized geometry",
  "lattice": [[5.340, 0.000, 0.000], [-2.670, 5.047, 0.018], [0.000, -2.295, 7.705]],
  "species": ["Mg", "Mg", "Er", "Er", "Er", "Er", "Ru", "Ru", "Ru", "Ru"],
  "frac_coords": [[0.158, 0.000, 0.750], [0.842, 0.000, 0.250], [0.813, 0.292, 0.647], [0.478, 0.292, 0.147], [0.522, 0.708, 0.853], [0.187, 0.708, 0.353], [0.307, 0.269, 0.498], [0.038, 0.731, 0.002], [0.962, 0.269, 0.998], [0.693, 0.731, 0.502]],
  "formation_enthalpy_0k_ev_per_atom": -0.28,
  "spacegroup": "C2/c, No. 15"
}